DFT (PBE) results for Ir2PdPt2 after structural relaxation.

The calculation puts the polymorph energy (0 for the lowest one) at 71.9 meV per atom. The value obtained for the theoretical density is 18.03 Mg/m³.

It has space group P4/mbm (No. 127), with a = 7.6523 Å, b = 7.6523 Å, c = 2.7706 Å, α = 90.00°, β = 90.00° and γ = 90.00°. The inequivalent atoms are Ir at (0.1730, 0.3270, 0.0000), Pd at (0.0000, 0.0000, 0.5000) and Pt at (0.1257, 0.6257, 0.5000).